# 1
DFT (PBE) results for crystalline KZnInCo2 at its relaxed geometry.

Cell: 4.9372 4.9372 6.2060 Å, 90.00 90.00 90.00°
Fractional coordinates of all 5 atoms:
K (0.0000, 0.0000, 0.0000)
Zn (0.5000, 0.5000, 0.0000)
In (0.0000, 0.0000, 0.5000)
Co (0.0000, 0.5000, 0.5000)
Co (0.5000, 0.0000, 0.5000)

Summary:
**M_tot**: 3.165 Bohr magnetons per cell
**E**: -2.667 eV/atom
**Energy of formation**: 1.198 eV/atom

---

# 2
DFT (PBE) results for crystalline La11InCo5 at its relaxed geometry.

Cell: 8.8168 8.8168 6.9543 Å, 104.27 104.27 102.00°
Fractional coordinates of all 17 atoms:
La (0.0000, 0.0000, 0.0000)
La (0.1459, 0.6810, 0.1929)
La (0.1691, 0.4138, 0.5631)
La (0.3190, 0.8541, 0.8071)
La (0.3455, 0.3455, 0.1238)
La (0.4138, 0.1691, 0.5631)
La (0.5862, 0.8309, 0.4369)
La (0.6545, 0.6545, 0.8762)
La (0.6810, 0.1459, 0.1929)
La (0.8309, 0.5862, 0.4369)
La (0.8541, 0.3190, 0.8071)
In (0.0000, 0.0000, 0.5000)
Co (0.0020, 0.6495, 0.8147)
Co (0.3505, 0.9980, 0.1853)
Co (0.5000, 0.5000, 0.5000)
Co (0.6495, 0.0020, 0.8147)
Co (0.9980, 0.3505, 0.1853)

Summary:
**M_tot**: 0.000 Bohr magnetons per cell
**E**: -5.574 eV/atom
**Energy of formation**: -0.134 eV/atom

---

# 3
DFT (PBE) results for crystalline LaInCo at its relaxed geometry.

Cell: 5.9376 6.4068 6.8417 Å, 90.00 90.00 90.00°
Fractional coordinates of all 12 atoms:
La (0.0000, 0.2500, 0.0678)
La (0.0000, 0.7500, 0.9322)
La (0.5000, 0.2500, 0.4322)
La (0.5000, 0.7500, 0.5678)
In (0.0000, 0.0000, 0.5000)
In (0.0000, 0.5000, 0.5000)
In (0.5000, 0.0000, 0.0000)
In (0.5000, 0.5000, 0.0000)
Co (0.2500, 0.2500, 0.7500)
Co (0.2500, 0.7500, 0.2500)
Co (0.7500, 0.2500, 0.7500)
Co (0.7500, 0.7500, 0.2500)

Summary:
**M_tot**: 0.001 Bohr magnetons per cell
**E**: -5.095 eV/atom
**Energy of formation**: -0.171 eV/atom

---

# 4
DFT (PBE) results for crystalline La9In2Co3 at its relaxed geometry.

Cell: 9.2930 9.2930 12.5969 Å, 112.93 112.93 54.95°
Fractional coordinates of all 28 atoms:
La (0.0486, 0.1902, 0.0504)
La (0.0772, 0.6134, 0.2304)
La (0.1491, 0.8509, 0.7500)
La (0.1583, 0.3597, 0.4271)
La (0.1902, 0.0486, 0.5504)
La (0.3597, 0.1583, 0.9271)
La (0.3866, 0.9228, 0.2696)
La (0.4131, 0.4880, 0.0825)
La (0.4880, 0.4131, 0.5825)
La (0.5120, 0.5869, 0.4175)
La (0.5869, 0.5120, 0.9175)
La (0.6134, 0.0772, 0.7304)
La (0.6403, 0.8417, 0.0729)
La (0.8098, 0.9514, 0.4496)
La (0.8417, 0.6403, 0.5729)
La (0.8509, 0.1491, 0.2500)
La (0.9228, 0.3866, 0.7696)
La (0.9514, 0.8098, 0.9496)
In (0.2343, 0.4487, 0.7567)
In (0.4487, 0.2343, 0.2567)
In (0.5513, 0.7657, 0.7433)
In (0.7657, 0.5513, 0.2433)
Co (0.0000, 0.5000, 0.0000)
Co (0.1656, 0.7002, 0.5085)
Co (0.2998, 0.8344, 0.9915)
Co (0.5000, 0.0000, 0.5000)
Co (0.7002, 0.1656, 0.0085)
Co (0.8344, 0.2998, 0.4915)

Summary:
**M_tot**: 0.000 Bohr magnetons per cell
**E**: -5.260 eV/atom
**Energy of formation**: -0.179 eV/atom

---

# 5
DFT (PBE) results for crystalline La6In3Co at its relaxed geometry.

Cell: 5.6729 9.5438 12.5571 Å, 90.00 115.13 90.00°
Fractional coordinates of all 20 atoms:
La (0.0332, 0.1530, 0.0573)
La (0.0332, 0.3470, 0.5573)
La (0.3064, 0.5088, 0.2785)
La (0.3064, 0.9912, 0.7785)
La (0.4381, 0.1859, 0.4434)
La (0.4381, 0.3141, 0.9434)
La (0.5619, 0.6859, 0.0566)
La (0.5619, 0.8141, 0.5566)
La (0.6936, 0.0088, 0.2215)
La (0.6936, 0.4912, 0.7215)
La (0.9668, 0.6530, 0.4427)
La (0.9668, 0.8470, 0.9427)
In (0.0000, 0.0000, 0.5000)
In (0.0000, 0.5000, 0.0000)
In (0.2260, 0.6547, 0.7557)
In (0.2260, 0.8453, 0.2557)
In (0.7740, 0.1547, 0.7443)
In (0.7740, 0.3453, 0.2443)
Co (0.5000, 0.0000, 0.0000)
Co (0.5000, 0.5000, 0.5000)

Summary:
**M_tot**: 0.000 Bohr magnetons per cell
**Offset from the most stable computed form**: 0.000 eV per atom
**E**: -4.791 eV/atom
**Energy of formation**: -0.302 eV/atom

---

# 6
DFT (PBE) results for crystalline LaInCo3 at its relaxed geometry.

Cell: 4.6576 4.6576 4.6576 Å, 90.00 90.00 90.00°
Fractional coordinates of all 5 atoms:
La (0.0000, 0.0000, 0.0000)
In (0.5000, 0.5000, 0.5000)
Co (0.0000, 0.0000, 0.5000)
Co (0.0000, 0.5000, 0.0000)
Co (0.5000, 0.0000, 0.0000)

Summary:
**M_tot**: 1.440 Bohr magnetons per cell
**Offset from the most stable computed form**: 0.543 eV per atom
**E**: -4.479 eV/atom
**Energy of formation**: 1.318 eV/atom

---

# 7
DFT (PBE) results for crystalline LaInCo2 at its relaxed geometry.

Cell: 7.8103 4.5145 5.3829 Å, 90.00 119.02 90.00°
Fractional coordinates of all 8 atoms:
La (0.0000, 0.0000, 0.0000)
La (0.5000, 0.5000, 0.0000)
In (0.0000, 0.5000, 0.5000)
In (0.5000, 0.0000, 0.5000)
Co (0.1789, 0.0000, 0.5372)
Co (0.3211, 0.5000, 0.4628)
Co (0.6789, 0.5000, 0.5372)
Co (0.8211, 0.0000, 0.4628)

Summary:
**M_tot**: 2.206 Bohr magnetons per cell
**E**: -5.580 eV/atom
**Energy of formation**: -0.111 eV/atom

---

# 8
DFT (PBE) results for crystalline LaInCo2 at its relaxed geometry.

Cell: 4.0596 4.0596 17.8732 Å, 90.00 90.00 120.00°
Fractional coordinates of all 12 atoms:
La (0.0000, 0.0000, 0.0000)
La (0.3333, 0.6667, 0.6667)
La (0.6667, 0.3333, 0.3333)
In (0.0000, 0.0000, 0.1910)
In (0.3333, 0.6667, 0.8576)
In (0.6667, 0.3333, 0.5243)
Co (0.0000, 0.0000, 0.4453)
Co (0.0000, 0.0000, 0.7752)
Co (0.3333, 0.6667, 0.1120)
Co (0.3333, 0.6667, 0.4419)
Co (0.6667, 0.3333, 0.1086)
Co (0.6667, 0.3333, 0.7786)

Summary:
**M_tot**: 5.523 Bohr magnetons per cell
**E**: -5.583 eV/atom
**Energy of formation**: -0.114 eV/atom

---

# 9
DFT (PBE) results for crystalline La6InCo2 at its relaxed geometry.

Cell: 6.2184 6.2184 9.1614 Å, 94.86 94.86 46.60°
Fractional coordinates of all 9 atoms:
La (0.1005, 0.1005, 0.3686)
La (0.2946, 0.2946, 0.8855)
La (0.3962, 0.3962, 0.3203)
La (0.6038, 0.6038, 0.6797)
La (0.7054, 0.7054, 0.1145)
La (0.8995, 0.8995, 0.6314)
In (0.0000, 0.0000, 0.0000)
Co (0.2549, 0.2549, 0.6179)
Co (0.7451, 0.7451, 0.3821)

Summary:
**M_tot**: 0.000 Bohr magnetons per cell
**Offset from the most stable computed form**: 0.034 eV per atom
**E**: -5.351 eV/atom
**Energy of formation**: -0.182 eV/atom

---

# 10
DFT (PBE) results for crystalline LaInCo at its relaxed geometry.

Cell: 7.0444 7.0444 7.0444 Å, 90.00 90.00 90.00°
Fractional coordinates of all 12 atoms:
La (0.0000, 0.0000, 0.0000)
La (0.0000, 0.5000, 0.5000)
La (0.5000, 0.0000, 0.5000)
La (0.5000, 0.5000, 0.0000)
In (0.2500, 0.2500, 0.2500)
In (0.2500, 0.7500, 0.7500)
In (0.7500, 0.2500, 0.7500)
In (0.7500, 0.7500, 0.2500)
Co (0.2500, 0.2500, 0.7500)
Co (0.2500, 0.7500, 0.2500)
Co (0.7500, 0.2500, 0.2500)
Co (0.7500, 0.7500, 0.7500)

Summary:
**M_tot**: 4.483 Bohr magnetons per cell
**E**: -4.258 eV/atom
**Energy of formation**: 0.665 eV/atom

---

# 11
DFT (PBE) results for crystalline LaInCo2 at its relaxed geometry.

Cell: 6.8715 6.8715 6.8715 Å, 90.00 90.00 90.00°
Fractional coordinates of all 16 atoms:
La (0.0000, 0.0000, 0.0000)
La (0.0000, 0.5000, 0.5000)
La (0.5000, 0.0000, 0.5000)
La (0.5000, 0.5000, 0.0000)
In (0.2500, 0.2500, 0.2500)
In (0.2500, 0.7500, 0.7500)
In (0.7500, 0.2500, 0.7500)
In (0.7500, 0.7500, 0.2500)
Co (0.0000, 0.0000, 0.5000)
Co (0.0000, 0.5000, 0.0000)
Co (0.2500, 0.2500, 0.7500)
Co (0.2500, 0.7500, 0.2500)
Co (0.5000, 0.0000, 0.0000)
Co (0.5000, 0.5000, 0.5000)
Co (0.7500, 0.2500, 0.2500)
Co (0.7500, 0.7500, 0.7500)

Summary:
**M_tot**: 13.732 Bohr magnetons per cell
**E**: -5.088 eV/atom
**Energy of formation**: 0.381 eV/atom

---

# 12
DFT (PBE) results for crystalline La2InCo2 at its relaxed geometry.

Cell: 5.5118 5.5118 7.7550 Å, 90.00 90.00 90.00°
Fractional coordinates of all 10 atoms:
La (0.0000, 0.5000, 0.2500)
La (0.0000, 0.5000, 0.7500)
La (0.5000, 0.0000, 0.2500)
La (0.5000, 0.0000, 0.7500)
In (0.0000, 0.0000, 0.0000)
In (0.5000, 0.5000, 0.5000)
Co (0.0000, 0.0000, 0.3350)
Co (0.0000, 0.0000, 0.6650)
Co (0.5000, 0.5000, 0.1650)
Co (0.5000, 0.5000, 0.8350)

Summary:
**M_tot**: 0.000 Bohr magnetons per cell
**E**: -5.402 eV/atom
**Energy of formation**: -0.041 eV/atom

---

# 13
DFT (PBE) results for crystalline La2InCo2 at its relaxed geometry.

Cell: 3.4771 3.4771 19.4247 Å, 90.00 90.00 90.00°
Fractional coordinates of all 10 atoms:
La (0.0000, 0.0000, 0.1282)
La (0.0000, 0.0000, 0.8718)
La (0.5000, 0.5000, 0.3718)
La (0.5000, 0.5000, 0.6282)
In (0.0000, 0.0000, 0.5000)
In (0.5000, 0.5000, 0.0000)
Co (0.0000, 0.5000, 0.2500)
Co (0.0000, 0.5000, 0.7500)
Co (0.5000, 0.0000, 0.2500)
Co (0.5000, 0.0000, 0.7500)

Summary:
**M_tot**: 5.138 Bohr magnetons per cell
**E**: -5.413 eV/atom
**Energy of formation**: -0.052 eV/atom

---

# 14
DFT (PBE) results for crystalline La7InCo2 at its relaxed geometry.

Cell: 8.3698 8.3698 5.0525 Å, 90.00 90.00 110.52°
Fractional coordinates of all 10 atoms:
La (0.0000, 0.0000, 0.0000)
La (0.1912, 0.4555, 0.0000)
La (0.1967, 0.8033, 0.5000)
La (0.4555, 0.1912, 0.0000)
La (0.5445, 0.8088, 0.0000)
La (0.8033, 0.1967, 0.5000)
La (0.8088, 0.5445, 0.0000)
In (0.5000, 0.5000, 0.5000)
Co (0.1908, 0.8092, 0.0000)
Co (0.8092, 0.1908, 0.0000)

Summary:
**M_tot**: 0.000 Bohr magnetons per cell
**E**: -5.250 eV/atom
**Energy of formation**: -0.106 eV/atom

---

# 15
DFT (PBE) results for crystalline La6InCo3 at its relaxed geometry.

Cell: 11.7893 3.9840 12.6763 Å, 90.00 105.01 90.00°
Fractional coordinates of all 20 atoms:
La (0.0042, 0.2500, 0.3823)
La (0.1097, 0.2500, 0.9506)
La (0.1938, 0.7500, 0.2543)
La (0.2927, 0.7500, 0.7860)
La (0.3258, 0.2500, 0.5295)
La (0.4198, 0.7500, 0.0882)
La (0.5802, 0.2500, 0.9118)
La (0.6742, 0.7500, 0.4705)
La (0.7073, 0.2500, 0.2140)
La (0.8062, 0.2500, 0.7457)
La (0.8903, 0.7500, 0.0494)
La (0.9958, 0.7500, 0.6177)
In (0.4525, 0.2500, 0.3130)
In (0.5475, 0.7500, 0.6870)
Co (0.0259, 0.2500, 0.1625)
Co (0.1635, 0.7500, 0.4788)
Co (0.3466, 0.2500, 0.9276)
Co (0.6534, 0.7500, 0.0724)
Co (0.8365, 0.2500, 0.5212)
Co (0.9741, 0.7500, 0.8375)

Summary:
**M_tot**: 0.000 Bohr magnetons per cell
**E**: -5.513 eV/atom
**Energy of formation**: -0.151 eV/atom

---

# 16
DFT (PBE) results for crystalline La4InCo at its relaxed geometry.

Cell: 6.4028 6.4028 6.4028 Å, 60.00 60.00 60.00°
Fractional coordinates of all 6 atoms:
La (0.1252, 0.1252, 0.1252)
La (0.1252, 0.1252, 0.6244)
La (0.1252, 0.6244, 0.1252)
La (0.6244, 0.1252, 0.1252)
In (0.5000, 0.5000, 0.5000)
Co (0.7500, 0.7500, 0.7500)

Summary:
**M_tot**: 1.998 Bohr magnetons per cell
**Offset from the most stable computed form**: 0.796 eV per atom
**E**: -4.387 eV/atom
**Energy of formation**: 0.539 eV/atom

---

# 17
DFT (PBE) results for crystalline La9In3Co2 at its relaxed geometry.

Cell: 7.4359 7.4359 9.1428 Å, 90.00 90.00 120.00°
Fractional coordinates of all 14 atoms:
La (0.0000, 0.5000, 0.0000)
La (0.1638, 0.3275, 0.6645)
La (0.1638, 0.8362, 0.6645)
La (0.3275, 0.1638, 0.3355)
La (0.5000, 0.0000, 0.0000)
La (0.5000, 0.5000, 0.0000)
La (0.6725, 0.8362, 0.6645)
La (0.8362, 0.1638, 0.3355)
La (0.8362, 0.6725, 0.3355)
In (0.0000, 0.0000, 0.0000)
In (0.3333, 0.6667, 0.3392)
In (0.6667, 0.3333, 0.6608)
Co (0.3333, 0.6667, 0.8225)
Co (0.6667, 0.3333, 0.1775)

Summary:
**M_tot**: 0.000 Bohr magnetons per cell
**E**: -5.060 eV/atom
**Energy of formation**: -0.291 eV/atom

---

# 18
DFT (PBE) results for crystalline La6InCo at its relaxed geometry.

Cell: 5.1520 9.3080 10.5867 Å, 90.00 90.00 90.00°
Fractional coordinates of all 16 atoms:
La (0.0000, 0.0000, 0.0000)
La (0.0000, 0.1712, 0.3084)
La (0.0000, 0.3288, 0.8084)
La (0.0000, 0.5000, 0.5000)
La (0.0000, 0.6712, 0.8084)
La (0.0000, 0.8288, 0.3084)
La (0.5000, 0.0000, 0.8165)
La (0.5000, 0.2371, 0.5635)
La (0.5000, 0.2629, 0.0635)
La (0.5000, 0.5000, 0.3165)
La (0.5000, 0.7371, 0.0635)
La (0.5000, 0.7629, 0.5635)
In (0.0000, 0.0000, 0.6104)
In (0.0000, 0.5000, 0.1104)
Co (0.5000, 0.0000, 0.1434)
Co (0.5000, 0.5000, 0.6434)

Summary:
**M_tot**: 0.000 Bohr magnetons per cell
**Offset from the most stable computed form**: 0.049 eV per atom
**E**: -5.005 eV/atom
**Energy of formation**: -0.079 eV/atom

---

# 19
DFT (PBE) results for crystalline La5In2Co at its relaxed geometry.

Cell: 8.2380 12.3982 4.9328 Å, 90.00 90.00 90.00°
Fractional coordinates of all 16 atoms:
La (0.0000, 0.0000, 0.0000)
La (0.1236, 0.3075, 0.0000)
La (0.1840, 0.5682, 0.5000)
La (0.3160, 0.0682, 0.5000)
La (0.3764, 0.8075, 0.0000)
La (0.5000, 0.5000, 0.0000)
La (0.6236, 0.1925, 0.0000)
La (0.6840, 0.9318, 0.5000)
La (0.8160, 0.4318, 0.5000)
La (0.8764, 0.6925, 0.0000)
In (0.0827, 0.8326, 0.5000)
In (0.4173, 0.3326, 0.5000)
In (0.5827, 0.6674, 0.5000)
In (0.9173, 0.1674, 0.5000)
Co (0.0000, 0.5000, 0.0000)
Co (0.5000, 0.0000, 0.0000)

Summary:
**M_tot**: 0.000 Bohr magnetons per cell
**Offset from the most stable computed form**: 0.000 eV per atom
**E**: -4.966 eV/atom
**Energy of formation**: -0.314 eV/atom

---

# 20
DFT (PBE) results for crystalline La4InCo2 at its relaxed geometry.

Cell: 6.2494 6.2494 13.8552 Å, 90.00 90.00 134.44°
Fractional coordinates of all 14 atoms:
La (0.0000, 0.0000, 0.0000)
La (0.0000, 0.0000, 0.5000)
La (0.2847, 0.7153, 0.6023)
La (0.2847, 0.7153, 0.8977)
La (0.3984, 0.6016, 0.2500)
La (0.6016, 0.3984, 0.7500)
La (0.7153, 0.2847, 0.1023)
La (0.7153, 0.2847, 0.3977)
In (0.0963, 0.9037, 0.2500)
In (0.9037, 0.0963, 0.7500)
Co (0.3969, 0.6031, 0.0499)
Co (0.3969, 0.6031, 0.4501)
Co (0.6031, 0.3969, 0.5499)
Co (0.6031, 0.3969, 0.9501)

Summary:
**M_tot**: 0.000 Bohr magnetons per cell
**E**: -5.432 eV/atom
**Energy of formation**: -0.195 eV/atom

---

# 21
DFT (PBE) results for crystalline La8InCo4 at its relaxed geometry.

Cell: 9.3969 9.3969 13.1063 Å, 130.26 130.26 25.22°
Fractional coordinates of all 13 atoms:
La (0.0473, 0.0473, 0.2012)
La (0.3178, 0.3178, 0.4538)
La (0.3238, 0.3238, 0.8949)
La (0.3850, 0.3850, 0.2182)
La (0.6150, 0.6150, 0.7818)
La (0.6762, 0.6762, 0.1051)
La (0.6822, 0.6822, 0.5462)
La (0.9527, 0.9527, 0.7988)
In (0.0000, 0.0000, 0.5000)
Co (0.1764, 0.1764, 0.9626)
Co (0.3303, 0.3303, 0.6791)
Co (0.6697, 0.6697, 0.3209)
Co (0.8236, 0.8236, 0.0374)

Summary:
**M_tot**: 0.000 Bohr magnetons per cell
**E**: -5.586 eV/atom
**Energy of formation**: -0.157 eV/atom

---

# 22
DFT (PBE) results for crystalline LaIn4Co at its relaxed geometry.

Cell: 6.0041 6.0041 6.0041 Å, 60.00 60.00 60.00°
Fractional coordinates of all 6 atoms:
La (0.0000, 0.0000, 0.0000)
In (0.3753, 0.3753, 0.3753)
In (0.3753, 0.3753, 0.8740)
In (0.3753, 0.8740, 0.3753)
In (0.8740, 0.3753, 0.3753)
Co (0.7500, 0.7500, 0.7500)

Summary:
**M_tot**: 1.953 Bohr magnetons per cell
**E**: -3.614 eV/atom
**Energy of formation**: 0.217 eV/atom